Below is a geometry-optimized CdSb4Se7 structure, with properties calculated at the PBE level.

Results
For the uncorrected formation energy, the calculation gives -0.3059 eV/atom.

a = 4.0865 Å, b = 4.0865 Å, c = 23.5495 Å
α = 90.00°, β = 90.00°, γ = 120.00°
Space group P-3m1 (No. 164)
Asymmetric unit:
Cd: 0.0000 0.0000 0.0000 (multiplicity 1)
Sb: 0.3333 0.6667 0.1492 (multiplicity 2)
Sb: 0.3333 0.6667 0.4200 (multiplicity 2)
Se: 0.0000 0.0000 0.2139 (multiplicity 2)
Se: 0.0000 0.0000 0.5000 (multiplicity 1)
Se: 0.3333 0.6667 0.6458 (multiplicity 2)
Se: 0.3333 0.6667 0.9318 (multiplicity 2)

***

Below is a geometry-optimized Ac2Pm7Nd structure, with properties calculated at the PBE level.

Results
Its calculated formation energy is 0.43 eV per atom.

a = 12.3415 Å, b = 17.5776 Å, c = 3.6213 Å
α = 90.00°, β = 90.00°, γ = 90.00°
Space group Cmmm (No. 65)
Asymmetric unit:
Ac: 0.0000 0.1769 0.0000 (multiplicity 4)
Pm: 0.0000 0.3386 0.5000 (multiplicity 4)
Pm: 0.0000 0.5000 0.0000 (multiplicity 2)
Pm: 0.2390 0.3811 0.0000 (multiplicity 8)
Nd: 0.0000 0.0000 0.5000 (multiplicity 2)

***

Below is a geometry-optimized WIN2Cl structure, with properties calculated at the PBE level.

Results
For the uncorrected formation energy, the calculation gives 0.5904 eV/atom. The energy above the lowest structure with this stoichiometry comes out at 0.0 meV per atom.

a = 3.9746 Å, b = 3.9746 Å, c = 5.8186 Å
α = 90.00°, β = 90.00°, γ = 90.00°
Space group P4/mmm (No. 123)
Asymmetric unit:
W: 0.0000 0.0000 0.0000 (multiplicity 1)
I: 0.0000 0.0000 0.5000 (multiplicity 1)
N: 0.0000 0.5000 0.0000 (multiplicity 2)
Cl: 0.5000 0.5000 0.5000 (multiplicity 1)

***

Below is a geometry-optimized TiSiNiAu2 structure, with properties calculated at the PBE level.

Results
For the uncorrected formation energy, the calculation gives 0.6041 eV/atom.

a = 4.6089 Å, b = 4.6089 Å, c = 4.6747 Å
α = 90.00°, β = 90.00°, γ = 90.00°
Space group P4/mmm (No. 123)
Asymmetric unit:
Ti: 0.0000 0.0000 0.0000 (multiplicity 1)
Si: 0.0000 0.0000 0.5000 (multiplicity 1)
Ni: 0.5000 0.5000 0.0000 (multiplicity 1)
Au: 0.0000 0.5000 0.5000 (multiplicity 2)

***

Below is a geometry-optimized HgSe2F structure, with properties calculated at the PBE level.

Results
For the uncorrected formation energy, the calculation gives -0.1568 eV/atom. The energy above the lowest structure with this stoichiometry comes out at 153.8 meV per atom.

a = 4.2126 Å, b = 4.2126 Å, c = 21.2482 Å
α = 90.00°, β = 90.00°, γ = 120.00°
Space group R-3m (No. 166, hexagonal axes)
Asymmetric unit:
Hg: 0.0000 0.0000 0.0000 (multiplicity 3)
Se: 0.0000 0.0000 0.3992 (multiplicity 6)
F: 0.0000 0.0000 0.5000 (multiplicity 3)

***

Below is a geometry-optimized KP2CS structure, with properties calculated at the PBE level.

Results
For the uncorrected formation energy, the calculation gives 1.0026 eV/atom. The energy above the lowest structure with this stoichiometry comes out at 0.0 meV per atom.

a = 4.1374 Å, b = 4.1374 Å, c = 5.2942 Å
α = 90.00°, β = 90.00°, γ = 90.00°
Space group P4/mmm (No. 123)
Asymmetric unit:
K: 0.0000 0.0000 0.0000 (multiplicity 1)
P: 0.0000 0.5000 0.5000 (multiplicity 2)
C: 0.5000 0.5000 0.5000 (multiplicity 1)
S: 0.5000 0.5000 0.0000 (multiplicity 1)

***

Below is a geometry-optimized Pm6Co2RuBr3 structure, with properties calculated at the PBE level.

Results
For the uncorrected formation energy, the calculation gives -0.7458 eV/atom.

a = 19.4130 Å, b = 3.9804 Å, c = 9.0830 Å
α = 90.00°, β = 113.22°, γ = 90.00°
Space group C2/m (No. 12)
Asymmetric unit:
Pm: 0.0133 0.0000 0.2249 (multiplicity 4)
Pm: 0.1558 0.5000 0.1181 (multiplicity 4)
Pm: 0.1801 0.5000 0.5521 (multiplicity 4)
Co: 0.1686 0.0000 0.3375 (multiplicity 4)
Ru: 0.0000 0.5000 0.0000 (multiplicity 2)
Br: 0.0000 0.5000 0.5000 (multiplicity 2)
Br: 0.1662 0.0000 0.8335 (multiplicity 4)

***

Below is a geometry-optimized La3Si2GePt9 structure, with properties calculated at the PBE level.

Results
For the uncorrected formation energy, the calculation gives -0.8027 eV/atom.

a = 6.5220 Å, b = 6.5220 Å, c = 8.6642 Å
α = 90.00°, β = 90.00°, γ = 120.00°
Space group P-3m1 (No. 164)
Asymmetric unit:
La: 0.0000 0.0000 0.0000 (multiplicity 1)
La: 0.3333 0.6667 0.6896 (multiplicity 2)
Si: 0.3333 0.6667 0.1845 (multiplicity 2)
Ge: 0.0000 0.0000 0.5000 (multiplicity 1)
Pt: 0.0000 0.5000 0.0000 (multiplicity 3)
Pt: 0.1449 0.2899 0.2841 (multiplicity 6)

***

Below is a geometry-optimized Pm2SmBe structure, with properties calculated at the PBE level.

Results
The energy above the lowest structure with this stoichiometry comes out at 0.0 meV per atom. Its calculated formation energy is 0.11 eV per atom.

a = 3.5686 Å, b = 3.5686 Å, c = 8.7212 Å
α = 90.00°, β = 90.00°, γ = 90.00°
Space group P4/mmm (No. 123)
Asymmetric unit:
Pm: 0.0000 0.0000 0.1937 (multiplicity 2)
Sm: 0.5000 0.5000 0.5000 (multiplicity 1)
Be: 0.5000 0.5000 0.0000 (multiplicity 1)

***

Below is a geometry-optimized TmScInAg structure, with properties calculated at the PBE level.

Results
Its calculated formation energy is -0.38 eV per atom.

a = 7.1742 Å, b = 7.1742 Å, c = 7.1742 Å
α = 90.00°, β = 90.00°, γ = 90.00°
Space group F-43m (No. 216)
Asymmetric unit:
Tm: 0.0000 0.0000 0.0000 (multiplicity 4)
Sc: 0.0000 0.0000 0.5000 (multiplicity 4)
In: 0.2500 0.2500 0.2500 (multiplicity 4)
Ag: 0.2500 0.2500 0.7500 (multiplicity 4)

***

Below is a geometry-optimized Se2SIN structure, with properties calculated at the PBE level.

Results
For the uncorrected formation energy, the calculation gives 1.0469 eV/atom. The energy above the lowest structure with this stoichiometry comes out at 0.0 meV per atom.

a = 5.5369 Å, b = 5.5369 Å, c = 3.3648 Å
α = 90.00°, β = 90.00°, γ = 90.00°
Space group P4/mmm (No. 123)
Asymmetric unit:
Se: 0.0000 0.5000 0.0000 (multiplicity 2)
S: 0.0000 0.0000 0.0000 (multiplicity 1)
I: 0.5000 0.5000 0.5000 (multiplicity 1)
N: 0.0000 0.0000 0.5000 (multiplicity 1)

***

Below is a geometry-optimized Rb8Bi2S structure, with properties calculated at the PBE level.

Results
For the uncorrected formation energy, the calculation gives -0.4286 eV/atom. The energy above the lowest structure with this stoichiometry comes out at 54.1 meV per atom.

a = 18.7101 Å, b = 6.4725 Å, c = 10.9666 Å
α = 90.00°, β = 114.27°, γ = 90.00°
Space group C2/m (No. 12)
Asymmetric unit:
Rb: 0.0069 0.0000 0.3095 (multiplicity 4)
Rb: 0.0977 0.5000 0.1074 (multiplicity 4)
Rb: 0.1923 0.5000 0.5411 (multiplicity 4)
Rb: 0.2005 0.0000 0.0596 (multiplicity 4)
Bi: 0.1945 0.0000 0.7027 (multiplicity 4)
S: 0.0000 0.0000 0.0000 (multiplicity 2)

***

D(E_F), respectively: 0.72, 33.60, 3.70, 4.65, 4.26, 3.57, 9.50, 6.43, 4.66, 11.13, 2.73, 13.65 states/eV/cell.